RbCuAs | PBE | optimized geometry

Cell and atoms, written as POSCAR:
```
RbCuAs
1.0
-0.2575 0.5132 3.5221
3.3886 -1.0449 0.4000
0.3038 6.0574 -2.6682
As Rb Cu
1 1 1
Direct
0.7295 0.7295 0.4590
0.0059 0.0059 0.0118
0.2646 0.2646 0.5292
```

Output
Symmetry: I4mm
Calculated formation energy (eV/f.u.): 0.05
Polymorph energy (0 for the lowest one) (eV per atom): 0.2188
M_tot (Bohr magnetons per cell): 0.00
Raw total energy (eV per atom): -3.223